1.
This record from Alexandria via LeMat-Bulk describes a relaxed structure of CoTc2As. The functional is PBE.

Unit cell a=8.381 b=8.381 c=8.381 alpha=19.19 beta=19.19 gamma=19.19
Positions (direct):
Co 0.000 0.000 0.000
Tc 0.504 0.504 0.504
Tc 0.752 0.752 0.752
As 0.260 0.260 0.260

Values from the calculation:
Its space group is R3m, No. 160. The calculation puts the formation energy at 0.1284 eV per atom. The value obtained for the total energy is -7.993 eV/atom. For the volume, the calculation gives 55.6 Å³/f.u. The value obtained for the density of states at the Fermi level is 3.3 states/eV/cell.

***

2.
This record from Alexandria via LeMat-Bulk describes a relaxed structure of CoTc3As. The functional is PBE.

Unit cell a=4.495 b=4.495 c=4.495 alpha=90.00 beta=90.00 gamma=90.00
Positions (direct):
Co 0.000 0.000 0.000
Tc 0.000 0.500 0.500
Tc 0.500 0.000 0.500
Tc 0.500 0.500 0.000
As 0.500 0.500 0.500

Values from the calculation:
For the offset from the most stable computed form, the calculation gives 0.054 eV per atom. Its space group is Pm-3m, No. 221. The calculation puts the formation energy at 1.4026 eV per atom. The value obtained for the total energy is -7.168 eV/atom. For the volume, the calculation gives 90.8 Å³/f.u. The value obtained for the density of states at the Fermi level is 8.5 states/eV/cell.

***

3.
This record from Alexandria via LeMat-Bulk describes a relaxed structure of CoTcAs4. The functional is PBE.

Unit cell a=5.319 b=5.319 c=5.319 alpha=60.00 beta=60.00 gamma=60.00
Positions (direct):
Co 0.000 0.000 0.000
Tc 0.750 0.750 0.750
As 0.375 0.375 0.375
As 0.375 0.375 0.875
As 0.375 0.875 0.375
As 0.875 0.375 0.375

Values from the calculation:
For the offset from the most stable computed form, the calculation gives 1.008 eV per atom. Its space group is F-43m, No. 216. The calculation puts the formation energy at 0.9833 eV per atom. The value obtained for the total energy is -5.028 eV/atom. For the volume, the calculation gives 106.4 Å³/f.u. The value obtained for the density of states at the Fermi level is 7.5 states/eV/cell.